Here is Sr4CuCl after structural relaxation from the Alexandria database. Energies are from GGA-PBE.

The structure in POSCAR format:
```
Sr4CuCl
1.0
0.0000 5.3053 5.3053
5.3053 0.0000 5.3053
5.3053 5.3053 0.0000
Sr Cl Cu
4 1 1
Direct
0.3743 0.8770 0.3743 Sr
0.3743 0.3743 0.8770 Sr
0.8770 0.3743 0.3743 Sr
0.3743 0.3743 0.3743 Sr
0.7500 0.7500 0.7500 Cl
0.0000 0.0000 0.0000 Cu
```

Values from the calculation:
formation energy from raw total energies	0.35	eV/atom
SG	F-43m (216)

Here is NaCu2Bi2 after structural relaxation from the Alexandria database. Energies are from GGA-PBE.

The structure in POSCAR format:
```
NaCu2Bi2
1.0
-6.1876 5.0201 -2.3142
-4.7799 -6.6037 -1.5447
-1.1213 0.0732 3.1567
Bi Cu Na
4 4 2
Direct
0.8335 0.6665 0.0000 Bi
0.6665 0.1665 0.0000 Bi
0.1665 0.3335 0.0000 Bi
0.3335 0.8335 0.0000 Bi
0.8820 0.3820 0.5000 Cu
0.6180 0.8820 0.5000 Cu
0.1180 0.6180 0.5000 Cu
0.3820 0.1180 0.5000 Cu
0.5000 0.5000 0.0000 Na
0.0000 0.0000 0.0000 Na
```

Values from the calculation:
energy of formation from the pure elements	152	meV per atom
distance to the lowest polymorph of the same formula	96	meV per atom
SG	P4/mbm (127)

Here is Hf2Sc2V after structural relaxation from the Alexandria database. Energies are from GGA-PBE.

The structure in POSCAR format:
```
Hf2Sc2V
1.0
-3.0043 -0.4347 -6.1045
-4.3271 -4.6580 2.4613
-3.0201 3.4607 1.2398
Hf Sc V
4 4 2
Direct
0.3520 0.8520 0.0000 Hf
0.8520 0.6480 0.0000 Hf
0.1480 0.3520 0.0000 Hf
0.6480 0.1480 0.0000 Hf
0.8372 0.3372 0.5000 Sc
0.3372 0.1628 0.5000 Sc
0.6628 0.8372 0.5000 Sc
0.1628 0.6628 0.5000 Sc
0.0000 0.0000 0.0000 V
0.5000 0.5000 0.0000 V
```

Values from the calculation:
energy of formation from the pure elements	389	meV per atom
SG	P4/mbm (127)

Number 1: spin magnetization 0.7 μB per formula unit, E_tot -10.6 eV for the cell shown, DOS at the Fermi energy 8.5 states/eV/f.u.. Number 2: spin magnetization 0.0 μB per formula unit, E_tot -33.0 eV for the cell shown, DOS at the Fermi energy 1.8 states/eV/f.u.. Number 3: spin magnetization 1.0 μB per formula unit, E_tot -79.5 eV for the cell shown, DOS at the Fermi energy 6.4 states/eV/f.u..